Crystalline Y4HoCd at its relaxed geometry, computed with PBE.

* DOS(E_F): 1.512 states/eV/atom
* symmetry: No. 15
* V: 30.86 Å³ per atom
* crystal system: monoclinic
* calculated formation energy: 0.001 eV per atom
* distance to the lowest polymorph of the same formula: 98 meV per atom

abc: 6.339 8.960 8.313
angles: 113.08 100.01 112.65
Sites, in units of the cell vectors:
Y: 0.958 0.834 0.236
Cd: 0.250 0.000 0.000
Cd: 0.750 0.000 0.000
Ho: 0.342 0.592 0.185
Y: 0.222 0.598 0.764
Y: 0.755 0.711 0.619
Y: 0.635 0.092 0.381
Y: 0.365 0.908 0.619
Y: 0.042 0.166 0.764
Y: 0.245 0.289 0.381
Y: 0.778 0.402 0.236
Ho: 0.658 0.408 0.815